A relaxed AcWIO4 crystal. Source: Alexandria via LeMat-Bulk, functional PBE with a Hubbard U.

abc: 6.9308 6.9308 7.5425
angles: 77.43 77.43 67.92
Closest atoms and distances in Å follow each position.
Positions (direct):
1 Ac 0.2454 0.2454 0.8523  4 O 2.52-2.55
2 Ac 0.7546 0.7546 0.1477  4 O 2.52-2.55
3 W 0.6338 0.6338 0.7419  4 O 1.80-1.83
4 W 0.3662 0.3662 0.2581  4 O 1.80-1.83
5 I 0.0247 0.0247 0.2485  2 Ac 3.37-3.39, 5 O 3.50-3.75, 1 I 3.69
6 I 0.9753 0.9753 0.7515  2 Ac 3.37-3.39, 5 O 3.50-3.75, 1 I 3.69
7 O 0.3040 0.3040 0.5047  1 W 1.81
8 O 0.6960 0.6960 0.4953  1 W 1.81
9 O 0.1304 0.4965 0.1460  1 W 1.83
10 O 0.5287 0.5287 0.2057  1 W 1.80
11 O 0.5035 0.8696 0.8540  1 W 1.83
12 O 0.4965 0.1304 0.1460  1 W 1.83
13 O 0.4713 0.4713 0.7943  1 W 1.80
14 O 0.8696 0.5035 0.8540  1 W 1.83

Results
E in eV/cell: -98.071
Total magnetization in μB per atom: 0.00